NaCeS2: PBEsol geometry, SCAN.

Structure (CIF):
```
data_NaCeS2
_chemical_formula_sum 'Na1 Ce1 S2'
_symmetry_space_group_name_H-M 'P 4/m m m'
_symmetry_Int_Tables_number 123
_symmetry_space_group_name_Hall '-P 4 2'
_cell_length_a 4.014
_cell_length_b 4.014
_cell_length_c 5.517
_cell_angle_alpha 90.00
_cell_angle_beta 90.00
_cell_angle_gamma 90.00
loop_
_atom_site_label
_atom_site_type_symbol
_atom_site_fract_x
_atom_site_fract_y
_atom_site_fract_z
Na1 Na 0.000 0.000 0.000
Ce1 Ce 0.500 0.500 0.500
S1 S 0.000 0.000 0.500
S2 S 0.500 0.500 0.000
```

Results
M_tot: 0.895 μB/cell
V: 22.23 Å³ per atom
formation energy (no corrections): -7.8 eV per formula unit



NaCeS2: PBEsol geometry, SCAN.

Structure (CIF):
```
data_NaCeS2
_chemical_formula_sum 'Na4 Ce4 S8'
_symmetry_space_group_name_H-M 'I 41/a m d'
_symmetry_Int_Tables_number 141
_cell_length_a 5.618
_cell_length_b 5.618
_cell_length_c 11.753
_cell_angle_alpha 90.00
_cell_angle_beta 90.00
_cell_angle_gamma 90.00
loop_
_symmetry_equiv_pos_as_xyz
'x,y,z'
'-x,-y,-z'
'-y+1/4,x+3/4,z+1/4'
'y+1/4,-x+3/4,-z+1/4'
'-x+1/2,-y,z+1/2'
'x+1/2,y,-z+1/2'
'y+1/4,-x+1/4,z+3/4'
'-y+1/4,x+1/4,-z+3/4'
'x,-y,-z'
'-x,y,z'
'-y+1/4,-x+1/4,-z+3/4'
'y+1/4,x+1/4,z+3/4'
'-x+1/2,y,-z+1/2'
'x+1/2,-y,z+1/2'
'y+1/4,x+3/4,-z+1/4'
'-y+1/4,-x+3/4,z+1/4'
'x+1/2,y+1/2,z+1/2'
'-x+1/2,-y+1/2,-z+1/2'
'-y+3/4,x+1/4,z+3/4'
'y+3/4,-x+1/4,-z+3/4'
'-x,-y+1/2,z'
'x,y+1/2,-z'
'y+3/4,-x+3/4,z+1/4'
'-y+3/4,x+3/4,-z+1/4'
'x+1/2,-y+1/2,-z+1/2'
'-x+1/2,y+1/2,z+1/2'
'-y+3/4,-x+3/4,-z+1/4'
'y+3/4,x+3/4,z+1/4'
'-x,y+1/2,-z'
'x,-y+1/2,z'
'y+3/4,x+1/4,-z+3/4'
'-y+3/4,-x+1/4,z+3/4'
loop_
_atom_site_label
_atom_site_type_symbol
_atom_site_fract_x
_atom_site_fract_y
_atom_site_fract_z
Na1 Na 0.000 0.250 0.375
Ce1 Ce 0.000 0.250 0.875
S1 S 0.000 0.250 0.112
```

Results
M_tot: 4.002 μB/cell
V: 23.18 Å³ per atom
formation energy (no corrections): -8.1 eV per formula unit



NaCeS2: PBEsol geometry, SCAN.

Structure (CIF):
```
data_NaCeS2
_chemical_formula_sum 'Na3 Ce3 S6'
_symmetry_space_group_name_H-M 'R -3 m'
_symmetry_Int_Tables_number 166
_symmetry_space_group_name_Hall '-R 3 2"'
_cell_length_a 4.0696
_cell_length_b 4.0696
_cell_length_c 19.6851
_cell_angle_alpha 90.00
_cell_angle_beta 90.00
_cell_angle_gamma 120.00
loop_
_atom_site_label
_atom_site_type_symbol
_atom_site_fract_x
_atom_site_fract_y
_atom_site_fract_z
Na1 Na 0.0000 0.0000 0.0000
Ce1 Ce 0.0000 0.0000 0.5000
S1 S 0.0000 0.0000 0.2444
```

Results
M_tot: 3.000 μB/cell
V: 23.53 Å³ per atom
formation energy (no corrections): -8.1 eV per formula unit



NaCeTl2: PBEsol geometry, SCAN.

Structure (CIF):
```
data_NaCeTl2
_chemical_formula_sum 'Na4 Ce4 Tl8'
_symmetry_space_group_name_H-M 'F m -3 m'
_symmetry_Int_Tables_number 225
_symmetry_space_group_name_Hall '-F 4 2 3'
_cell_length_a 7.497
_cell_length_b 7.497
_cell_length_c 7.497
_cell_angle_alpha 90.00
_cell_angle_beta 90.00
_cell_angle_gamma 90.00
loop_
_atom_site_label
_atom_site_type_symbol
_atom_site_fract_x
_atom_site_fract_y
_atom_site_fract_z
Na1 Na 0.000 0.000 0.000
Ce1 Ce 0.000 0.000 0.500
Tl1 Tl 0.250 0.250 0.250
```

Results
M_tot: 4.474 μB/cell
V: 26.34 Å³ per atom
calculated formation energy: -1.6 eV/f.u.



Ce2Nb2S7O30: PBEsol geometry, SCAN.

Structure (CIF):
```
data_Ce2Nb2S7O30
_chemical_formula_sum 'Ce4 Nb4 S14 O60'
_symmetry_space_group_name_H-M 'P -4 21 m'
_symmetry_Int_Tables_number 113
_symmetry_space_group_name_Hall 'P -4 2ab'
_cell_length_a 12.754
_cell_length_b 12.754
_cell_length_c 7.091
_cell_angle_alpha 90.00
_cell_angle_beta 90.00
_cell_angle_gamma 90.00
loop_
_atom_site_label
_atom_site_type_symbol
_atom_site_fract_x
_atom_site_fract_y
_atom_site_fract_z
Ce1 Ce 0.201 0.299 0.405
Nb1 Nb 0.139 0.639 0.988
S1 S 0.000 0.500 0.347
S2 S 0.066 0.823 0.310
S3 S 0.122 0.378 0.891
O1 O 0.007 0.358 0.866
O2 O 0.043 0.215 0.339
O3 O 0.066 0.566 0.224
O4 O 0.067 0.077 0.722
O5 O 0.067 0.433 0.464
O6 O 0.104 0.766 0.127
O7 O 0.132 0.781 0.464
O8 O 0.154 0.346 0.079
O9 O 0.178 0.322 0.741
O10 O 0.205 0.705 0.796
```

Results
M_tot: 0.000 μB/cell
V: 14.07 Å³ per atom
formation energy (no corrections): -83.6 eV per formula unit



Ce8Nd2O19: PBEsol geometry, SCAN.

Structure (CIF):
```
data_Ce8Nd2O19
_chemical_formula_sum 'Ce8 Nd2 O19'
_symmetry_space_group_name_H-M 'P -4 m 2'
_symmetry_Int_Tables_number 115
_symmetry_space_group_name_Hall 'P -4 -2'
_cell_length_a 3.830
_cell_length_b 3.830
_cell_length_c 27.253
_cell_angle_alpha 90.00
_cell_angle_beta 90.00
_cell_angle_gamma 90.00
loop_
_atom_site_label
_atom_site_type_symbol
_atom_site_fract_x
_atom_site_fract_y
_atom_site_fract_z
Ce1 Ce 0.000 0.500 0.049
Ce2 Ce 0.000 0.500 0.247
Ce3 Ce 0.000 0.500 0.654
Ce4 Ce 0.000 0.500 0.852
Nd1 Nd 0.000 0.500 0.442
O1 O 0.000 0.000 0.000
O2 O 0.000 0.000 0.099
O3 O 0.000 0.000 0.198
O4 O 0.000 0.000 0.298
O5 O 0.000 0.000 0.400
O6 O 0.500 0.500 0.000
O7 O 0.500 0.500 0.098
O8 O 0.500 0.500 0.197
O9 O 0.500 0.500 0.294
O10 O 0.500 0.500 0.391
O11 O 0.500 0.500 0.500
```

Results
M_tot: 0.000 μB/cell
V: 13.79 Å³ per atom
formation energy (no corrections): -108.3 eV per formula unit